1.
Compound: LaTmZr
Source: Alexandria via LeMat-Bulk
Functional: GGA-PBE
Structure: relaxed

Unit cell a=3.448 b=3.448 c=8.471 alpha=90.00 beta=90.00 gamma=120.00
Positions (direct):
La 0.000 0.000 0.016
Zr 0.667 0.333 0.339
Tm 0.333 0.667 0.645

Computed properties:
energy	-5.87	eV/atom
energy above the most stable polymorph in this dataset	52	meV/atom
DFT formation energy	0.3	eV per formula unit
space-group type	P3m1 (156)


2.
Compound: LaTmZr
Source: Alexandria via LeMat-Bulk
Functional: GGA-PBE
Structure: relaxed

Unit cell a=3.389 b=3.389 c=8.043 alpha=102.16 beta=102.16 gamma=90.00
Positions (direct):
Tm 0.682 0.682 0.363
Zr 0.326 0.326 0.653
La 0.992 0.992 0.984

Computed properties:
energy	-5.88	eV/atom
energy above the most stable polymorph in this dataset	40	meV/atom
DFT formation energy	0.3	eV per formula unit
space-group type	I4mm (107)


3.
Compound: LaTm2Zr
Source: Alexandria via LeMat-Bulk
Functional: GGA-PBE
Structure: relaxed

Unit cell a=3.454 b=3.454 c=11.521 alpha=81.38 beta=81.38 gamma=60.00
Positions (direct):
La 0.000 0.000 0.000
Tm 0.757 0.757 0.730
Zr 0.500 0.500 0.500
Tm 0.243 0.243 0.270

Computed properties:
energy	-5.53	eV/atom
energy above the most stable polymorph in this dataset	0	meV/atom
DFT formation energy	0.3	eV per formula unit
space-group type	R-3m (166)


4.
Compound: LaTmZr
Source: Alexandria via LeMat-Bulk
Functional: GGA-PBE
Structure: relaxed

Unit cell a=5.412 b=5.413 c=6.770 alpha=90.00 beta=90.00 gamma=60.01
Positions (direct):
Zr 0.629 0.979 0.791
La 0.962 0.312 0.291
Tm 0.295 0.645 0.023
Zr 0.962 0.312 0.791
Tm 0.295 0.645 0.559
La 0.629 0.979 0.291

Computed properties:
energy	-5.86	eV/atom
energy above the most stable polymorph in this dataset	64	meV/atom
DFT formation energy	0.4	eV per formula unit
space-group type	P6/mmm (191)


5.
Compound: LaTm2Zr
Source: Alexandria via LeMat-Bulk
Functional: GGA-PBE
Structure: relaxed

Unit cell a=3.458 b=3.458 c=11.543 alpha=81.39 beta=81.39 gamma=60.00
Positions (direct):
Tm 0.257 0.257 0.228
Tm 0.076 0.076 0.773
Zr 0.666 0.666 0.001
La 0.501 0.501 0.498

Computed properties:
energy	-5.52	eV/atom
energy above the most stable polymorph in this dataset	3	meV/atom
DFT formation energy	0.3	eV per formula unit
space-group type	R3m (160)


6.
Compound: LaTm2Zr
Source: Alexandria via LeMat-Bulk
Functional: GGA-PBE
Structure: relaxed

Unit cell a=3.982 b=3.982 c=7.559 alpha=90.00 beta=90.00 gamma=90.00
Positions (direct):
La 0.500 0.500 0.500
Zr 0.500 0.500 0.000
Tm 0.000 0.000 0.785
Tm 0.000 0.000 0.215

Computed properties:
energy	-5.45	eV/atom
energy above the most stable polymorph in this dataset	74	meV/atom
DFT formation energy	0.6	eV per formula unit
space-group type	P4/mmm (123)


7.
Compound: LaTmZr
Source: Alexandria via LeMat-Bulk
Functional: GGA-PBE
Structure: relaxed

Unit cell a=3.795 b=3.795 c=12.654 alpha=90.00 beta=90.00 gamma=90.00
Positions (direct):
Zr 0.000 0.500 0.948
La 0.500 0.000 0.400
Tm 0.500 0.000 0.799
Zr 0.500 0.000 0.052
Tm 0.000 0.500 0.201
La 0.000 0.500 0.600

Computed properties:
energy	-5.92	eV/atom
energy above the most stable polymorph in this dataset	0	meV/atom
DFT formation energy	0.2	eV per formula unit
space-group type	P4/nmm (129)


8.
Compound: La4U
Source: Alexandria via LeMat-Bulk
Functional: GGA-PBE
Structure: relaxed

Unit cell a=5.751 b=5.751 c=5.751 alpha=90.00 beta=90.00 gamma=90.00
Positions (direct):
La 0.500 0.500 0.000
U 0.500 0.500 0.500
La 0.500 0.000 0.500
La 0.000 0.500 0.500
La 0.000 0.000 0.000

Computed properties:
energy	-5.61	eV/atom
DFT formation energy	2.9	eV per formula unit
space-group type	Pm-3m (221)


no.,density (g cm⁻³)
1,7.596
2,7.515
3,8.046
4,7.716
5,8.011
6,7.870
7,7.273
8,6.928